TaHg2Ru (PBE, optimized geometry); DFT formation energy = 0.450 eV/atom; density of states at the Fermi level = 8.73 states/eV per cell; calculated density = 15.76 g/cm3; magnetization = 0.00 μB per formula unit; symmetry = I-4m2
1.0
4.174 0.000 0.000
0.000 4.174 0.000
0.000 0.000 8.265
Ta Hg Ru
2 4 2
Cartesian
0.000 0.000 0.000 Ta
2.087 2.087 4.133 Ta
0.000 0.000 4.133 Hg
0.000 2.087 6.199 Hg
2.087 0.000 2.066 Hg
2.087 2.087 0.000 Hg
0.000 2.087 2.066 Ru
2.087 0.000 6.199 Ru

---

TaHgRu3 (PBE, optimized geometry); DFT formation energy = 2.438 eV/atom; density of states at the Fermi level = 7.02 states/eV per cell; calculated density = 10.50 g/cm3; magnetization = 0.00 μB per formula unit; symmetry = Pm-3m
1.0
4.766 0.000 0.000
0.000 4.766 0.000
0.000 0.000 4.766
Ta Hg Ru
1 1 3
Cartesian
0.000 0.000 0.000 Ta
2.383 2.383 2.383 Hg
0.000 2.383 2.383 Ru
2.383 0.000 2.383 Ru
2.383 2.383 0.000 Ru

---

TaHg2Ru (PBE, optimized geometry); DFT formation energy = 0.467 eV/atom; density of states at the Fermi level = 2.25 states/eV per cell; calculated density = 15.35 g/cm3; magnetization = 0.00 μB per formula unit; symmetry = Pmmm
1.0
3.264 0.000 0.000
0.000 4.614 0.000
0.000 0.000 4.906
Ta Hg Ru
1 2 1
Cartesian
0.000 0.000 0.000 Ta
0.000 2.307 2.453 Hg
1.632 0.000 2.453 Hg
1.632 2.307 0.000 Ru

---

TaHg3Ru (PBE, optimized geometry); DFT formation energy = 1.649 eV/atom; density of states at the Fermi level = 22.75 states/eV per cell; calculated density = 11.35 g/cm3; magnetization = 0.00 μB per formula unit; symmetry = Pm-3m
1.0
5.057 0.000 0.000
0.000 5.057 0.000
0.000 0.000 5.057
Ta Hg Ru
1 3 1
Cartesian
0.000 0.000 0.000 Ta
0.000 2.529 2.529 Hg
2.529 0.000 2.529 Hg
2.529 2.529 0.000 Hg
2.529 2.529 2.529 Ru

---

Question: What is the density of states at the Fermi level in the third record?
Answer: 2.25 states/eV per cell